[1]
CaSbRh2O after structural relaxation. Source: Alexandria via LeMat-Bulk, functional PBE.

The space group is P4/mmm (No. 123) and the conventional cell measures 5.011, 5.011 and 4.040 Å, with angles of 90.00, 90.00 and 90.00 degrees. Symmetry generates all atoms from Ca at (0.000, 0.000, 0.000), Sb at (0.500, 0.500, 0.500), Rh at (0.000, 0.500, 0.000) and O at (0.000, 0.000, 0.500).

The calculation puts the uncorrected formation energy at 0.53 eV per atom. The calculation puts the energy above the most stable polymorph in this dataset at 1099.6 meV per atom.

=====

[2]
Ca2EuI after structural relaxation. Source: Alexandria via LeMat-Bulk, functional PBE.

The space group is P4/mmm (No. 123) and the conventional cell measures 3.898, 3.898 and 10.307 Å, with angles of 90.00, 90.00 and 90.00 degrees. Symmetry generates all atoms from Ca at (0.000, 0.000, 0.224), Eu at (0.500, 0.500, 0.500) and I at (0.500, 0.500, 0.000).

The calculation puts the uncorrected formation energy at -0.46 eV per atom. The calculation puts the energy above the most stable polymorph in this dataset at 64.9 meV per atom.

=====

[3]
LiLaTa2Pt after structural relaxation. Source: Alexandria via LeMat-Bulk, functional PBE.

The space group is P4/mmm (No. 123) and the conventional cell measures 4.934, 4.934 and 4.417 Å, with angles of 90.00, 90.00 and 90.00 degrees. Symmetry generates all atoms from Li at (0.000, 0.000, 0.000), La at (0.000, 0.000, 0.500), Ta at (0.000, 0.500, 0.500) and Pt at (0.500, 0.500, 0.000).

The calculation puts the energy above the most stable polymorph in this dataset at 1091.7 meV per atom. The calculation puts the formation enthalpy at 0 K at 1.844 eV per atom.

=====

[4]
CsNiH2 after structural relaxation. Source: Alexandria via LeMat-Bulk, functional PBE.

The space group is R-3m (No. 166, hexagonal axes) and the conventional cell measures 3.3084, 3.3084 and 17.8988 Å, with angles of 90.00, 90.00 and 120.00 degrees. Symmetry generates all atoms from Cs at (0.0000, 0.0000, 0.0000), Ni at (0.0000, 0.0000, 0.5000) and H at (0.0000, 0.0000, 0.1997).

The value obtained for the calculated total energy is -2.8218 eV per atom.